1.
Here is a relaxed structure of Tb4Pm2Tm5 from the Alexandria database. Energies are from PBE.

Cell lengths 3.5397, 8.6762, 11.7523 Å; angles 75.97, 81.37, 89.99 degrees
Positions (direct):
Tb 0.0461 0.3607 0.4078
Tb 0.3180 0.5462 0.8644
Tb 0.6820 0.4538 0.1356
Tb 0.9539 0.6393 0.5922
Pm 0.4071 0.2695 0.6836
Pm 0.5929 0.7305 0.3164
Tm 0.1367 0.0918 0.2263
Tm 0.2287 0.8202 0.0434
Tm 0.5000 0.0000 0.5000
Tm 0.7713 0.1798 0.9566
Tm 0.8633 0.9082 0.7737

Values from the calculation:
E above lowest polymorph: 0.000 eV/atom
space group: No. 2

2.
Here is a relaxed structure of Tb8Pm4Tm3 from the Alexandria database. Energies are from PBE.

Cell lengths 9.2702, 9.2702, 6.7580 Å; angles 111.23, 111.23, 87.30 degrees
Positions (direct):
Tb 0.1398 0.8602 0.0000
Tb 0.2280 0.2280 0.4570
Tb 0.2342 0.2342 0.9849
Tb 0.2450 0.7550 0.5000
Tb 0.7550 0.2450 0.5000
Tb 0.7658 0.7658 0.0151
Tb 0.7720 0.7720 0.5430
Tb 0.8602 0.1398 0.0000
Pm 0.0000 0.5000 0.5000
Pm 0.5000 0.0000 0.5000
Pm 0.5000 0.5000 0.0000
Pm 0.5000 0.5000 0.5000
Tm 0.0000 0.0000 0.5000
Tm 0.0000 0.5000 0.0000
Tm 0.5000 0.0000 0.0000

Values from the calculation:
E above lowest polymorph: 0.248 eV/atom
space group: No. 12

3.
Here is a relaxed structure of Tb12PmTm6 from the Alexandria database. Energies are from PBE.

Cell lengths 9.2728, 9.2728, 9.2728 Å; angles 107.70, 107.70, 107.70 degrees
Positions (direct):
Tb 0.0000 0.3889 0.6111
Tb 0.0000 0.6111 0.3889
Tb 0.1321 0.1321 0.3512
Tb 0.1321 0.3512 0.1321
Tb 0.3512 0.1321 0.1321
Tb 0.3889 0.0000 0.6111
Tb 0.3889 0.6111 0.0000
Tb 0.6111 0.0000 0.3889
Tb 0.6111 0.3889 0.0000
Tb 0.6488 0.8679 0.8679
Tb 0.8679 0.6488 0.8679
Tb 0.8679 0.8679 0.6488
Pm 0.5000 0.5000 0.5000
Tm 0.1878 0.1878 0.7669
Tm 0.1878 0.7669 0.1878
Tm 0.2331 0.8122 0.8122
Tm 0.7669 0.1878 0.1878
Tm 0.8122 0.2331 0.8122
Tm 0.8122 0.8122 0.2331

Values from the calculation:
E above lowest polymorph: 0.194 eV/atom
space group: No. 166

4.
Here is a relaxed structure of TbPm6Tm12 from the Alexandria database. Energies are from PBE.

Cell lengths 8.6548, 8.6548, 8.6548 Å; angles 98.72, 98.72, 98.72 degrees
Positions (direct):
Tb 0.0000 0.0000 0.0000
Pm 0.0990 0.0990 0.6553
Pm 0.0990 0.6553 0.0990
Pm 0.3447 0.9010 0.9010
Pm 0.6553 0.0990 0.0990
Pm 0.9010 0.3447 0.9010
Pm 0.9010 0.9010 0.3447
Tm 0.0810 0.3545 0.3545
Tm 0.2438 0.5000 0.7562
Tm 0.2438 0.7562 0.5000
Tm 0.3545 0.0810 0.3545
Tm 0.3545 0.3545 0.0810
Tm 0.5000 0.2438 0.7562
Tm 0.5000 0.7562 0.2438
Tm 0.6455 0.6455 0.9190
Tm 0.6455 0.9190 0.6455
Tm 0.7562 0.2438 0.5000
Tm 0.7562 0.5000 0.2438
Tm 0.9190 0.6455 0.6455

Values from the calculation:
E above lowest polymorph: 0.097 eV/atom
space group: No. 166

5.
Here is a relaxed structure of TbPm4Tm7 from the Alexandria database. Energies are from PBE.

Cell lengths 6.5281, 6.7949, 8.9881 Å; angles 84.44, 77.06, 81.12 degrees
Positions (direct):
Tb 0.0000 0.0000 0.0000
Pm 0.1671 0.6148 0.3081
Pm 0.3607 0.1929 0.7125
Pm 0.6393 0.8071 0.2875
Pm 0.8329 0.3852 0.6919
Tm 0.0000 0.5000 0.0000
Tm 0.1865 0.1054 0.3822
Tm 0.3187 0.7029 0.6445
Tm 0.4875 0.2480 0.0483
Tm 0.5125 0.7520 0.9517
Tm 0.6813 0.2971 0.3555
Tm 0.8135 0.8946 0.6178

Values from the calculation:
E above lowest polymorph: 0.000 eV/atom
space group: No. 2

6.
Here is a relaxed structure of Tb15PmTm4 from the Alexandria database. Energies are from PBE.

Cell lengths 5.0214, 5.0214, 25.0946 Å; angles 90.00, 90.00, 90.00 degrees
Positions (direct):
Tb 0.0000 0.0000 0.0000
Tb 0.0000 0.0000 0.2018
Tb 0.0000 0.0000 0.4005
Tb 0.0000 0.0000 0.5995
Tb 0.0000 0.0000 0.7982
Tb 0.0000 0.5000 0.1018
Tb 0.0000 0.5000 0.3010
Tb 0.0000 0.5000 0.5000
Tb 0.0000 0.5000 0.6990
Tb 0.0000 0.5000 0.8982
Tb 0.5000 0.0000 0.1018
Tb 0.5000 0.0000 0.3010
Tb 0.5000 0.0000 0.5000
Tb 0.5000 0.0000 0.6990
Tb 0.5000 0.0000 0.8982
Pm 0.5000 0.5000 0.0000
Tm 0.5000 0.5000 0.2014
Tm 0.5000 0.5000 0.4005
Tm 0.5000 0.5000 0.5995
Tm 0.5000 0.5000 0.7986

Values from the calculation:
space group: No. 123

7.
Here is a relaxed structure of Tb2Pm2Tm from the Alexandria database. Energies are from PBE.

Cell lengths 16.3546, 16.3546, 16.3546 Å; angles 167.37, 159.86, 23.85 degrees
Positions (direct):
Tb 0.2707 0.0207 0.2500
Tb 0.3679 0.1179 0.2500
Tb 0.6321 0.8821 0.7500
Tb 0.7293 0.9793 0.7500
Pm 0.0599 0.8099 0.2500
Pm 0.4563 0.7063 0.7500
Pm 0.5437 0.2937 0.2500
Pm 0.9401 0.1901 0.7500
Tm 0.1738 0.4238 0.7500
Tm 0.8262 0.5762 0.2500

Values from the calculation:
E above lowest polymorph: 0.073 eV/atom
space group: No. 74

8.
Here is a relaxed structure of Tb11Pm9Tm4 from the Alexandria database. Energies are from PBE.

Cell lengths 15.3147, 15.3147, 3.6795 Å; angles 90.00, 90.00, 113.61 degrees
Positions (direct):
Tb 0.0000 0.0000 0.0000
Tb 0.0438 0.4048 0.0000
Tb 0.1625 0.8375 0.0000
Tb 0.2904 0.2904 0.0000
Tb 0.3692 0.6308 0.0000
Tb 0.4048 0.0438 0.0000
Tb 0.5952 0.9562 0.0000
Tb 0.6308 0.3692 0.0000
Tb 0.7096 0.7096 0.0000
Tb 0.8375 0.1625 0.0000
Tb 0.9562 0.5952 0.0000
Pm 0.0653 0.2138 0.5000
Pm 0.1648 0.6284 0.5000
Pm 0.2138 0.0653 0.5000
Pm 0.3716 0.8352 0.5000
Pm 0.5000 0.5000 0.5000
Pm 0.6284 0.1648 0.5000
Pm 0.7862 0.9347 0.5000
Pm 0.8352 0.3716 0.5000
Pm 0.9347 0.7862 0.5000
Tm 0.2422 0.4436 0.5000
Tm 0.4436 0.2422 0.5000
Tm 0.5564 0.7578 0.5000
Tm 0.7578 0.5564 0.5000

Values from the calculation:
space group: No. 65

9.
Here is a relaxed structure of Tb2Pm5Tm12 from the Alexandria database. Energies are from PBE.

Cell lengths 9.7254, 9.7254, 10.3091 Å; angles 109.59, 109.59, 42.07 degrees
Positions (direct):
Tb 0.2282 0.7718 0.0000
Tb 0.7718 0.2282 0.0000
Pm 0.1817 0.1817 0.2098
Pm 0.3118 0.3118 0.8170
Pm 0.5000 0.5000 0.5000
Pm 0.6882 0.6882 0.1830
Pm 0.8183 0.8183 0.7902
Tm 0.0028 0.0028 0.6736
Tm 0.0848 0.5900 0.4781
Tm 0.0951 0.5887 0.1313
Tm 0.4100 0.9152 0.5219
Tm 0.4113 0.9049 0.8687
Tm 0.4749 0.4749 0.7527
Tm 0.5251 0.5251 0.2473
Tm 0.5887 0.0951 0.1313
Tm 0.5900 0.0848 0.4781
Tm 0.9049 0.4113 0.8687
Tm 0.9152 0.4100 0.5219
Tm 0.9972 0.9972 0.3264

Values from the calculation:
E above lowest polymorph: 0.154 eV/atom
space group: No. 12

10.
Here is a relaxed structure of Tb2Pm7Tm2 from the Alexandria database. Energies are from PBE.

Cell lengths 9.4406, 9.4406, 9.4406 Å; angles 145.25, 63.49, 128.66 degrees
Positions (direct):
Tb 0.2013 0.0000 0.2013
Tb 0.7987 0.0000 0.7987
Pm 0.0718 0.7042 0.3676
Pm 0.3367 0.7042 0.6324
Pm 0.3396 0.5022 0.8374
Pm 0.6616 0.2964 0.3652
Pm 0.6648 0.5022 0.1626
Pm 0.8002 0.8002 0.0000
Pm 0.9311 0.2964 0.6348
Tm 0.2165 0.2165 0.0000
Tm 0.5007 0.0007 0.5000

Values from the calculation:
E above lowest polymorph: 0.000 eV/atom
space group: No. 44

11.
Here is a relaxed structure of Tb5Pm2Tm3 from the Alexandria database. Energies are from PBE.

Cell lengths 9.5491, 9.5491, 9.3903 Å; angles 108.23, 108.23, 112.18 degrees
Positions (direct):
Tb 0.0305 0.9695 0.7500
Tb 0.1147 0.3449 0.7155
Tb 0.2275 0.7725 0.7500
Tb 0.2678 0.7322 0.2500
Tb 0.3449 0.1147 0.2155
Tb 0.6551 0.8853 0.7845
Tb 0.7322 0.2678 0.7500
Tb 0.7725 0.2275 0.2500
Tb 0.8853 0.6551 0.2845
Tb 0.9695 0.0305 0.2500
Pm 0.2345 0.4846 0.4535
Pm 0.4846 0.2345 0.9535
Pm 0.5154 0.7655 0.0465
Pm 0.7655 0.5154 0.5465
Tm 0.0398 0.2777 0.0476
Tm 0.2777 0.0398 0.5476
Tm 0.4752 0.5248 0.2500
Tm 0.5248 0.4752 0.7500
Tm 0.7223 0.9602 0.4524
Tm 0.9602 0.7223 0.9524

Values from the calculation:
E above lowest polymorph: 0.000 eV/atom
space group: No. 15

12.
Here is a relaxed structure of Tb6Pm12Tm from the Alexandria database. Energies are from PBE.

Cell lengths 8.6506, 8.6506, 8.6506 Å; angles 88.98, 88.98, 88.98 degrees
Positions (direct):
Tb 0.2012 0.5972 0.7602
Tb 0.2398 0.7988 0.4028
Tb 0.4028 0.2398 0.7988
Tb 0.5972 0.7602 0.2012
Tb 0.7602 0.2012 0.5972
Tb 0.7988 0.4028 0.2398
Pm 0.0373 0.2798 0.9340
Pm 0.0660 0.9627 0.7202
Pm 0.1392 0.3055 0.4830
Pm 0.2798 0.9340 0.0373
Pm 0.3055 0.4830 0.1392
Pm 0.4830 0.1392 0.3055
Pm 0.5170 0.8608 0.6945
Pm 0.6945 0.5170 0.8608
Pm 0.7202 0.0660 0.9627
Pm 0.8608 0.6945 0.5170
Pm 0.9340 0.0373 0.2798
Pm 0.9627 0.7202 0.0660
Tm 0.5000 0.5000 0.5000

Values from the calculation:
E above lowest polymorph: 0.000 eV/atom
space group: No. 148

| no. | calculated formation energy (eV/atom) |
| --- | --- |
| 1 | 0.020 |
| 2 | 0.370 |
| 3 | 0.436 |
| 4 | 0.220 |
| 5 | 0.088 |
| 6 | 0.018 |
| 7 | 0.142 |
| 8 | 0.052 |
| 9 | 0.178 |
| 10 | 0.112 |
| 11 | 0.197 |
| 12 | 0.137 |